{
  "formula": "Li2MnRh",
  "functional": "PBE-GGA",
  "state": "optimized geometry",
  "sg": "No. 8",
  "total_energy_ev_per_atom": -5.08,
  "delta_e_f_ev_per_fu": 0.04,
  "de_polymorph_ev_per_atom": 0.066,
  "lattice_angstrom": [[-2.037, 2.267, 3.704], [-3.975, 2.081, 1.695], [-2.507, -2.954, 2.693]],
  "species": ["Li", "Li", "Mn", "Rh"],
  "fractional_positions": [[0.749, 0.749, 0.827], [0.993, 0.993, 0.925], [0.510, 0.510, 0.409], [0.249, 0.249, 0.340]]
}

***

{
  "formula": "Y2ThSc4",
  "functional": "PBE-GGA",
  "state": "optimized geometry",
  "sg": "No. 65",
  "total_energy_ev_per_atom": -6.33,
  "delta_e_f_ev_per_fu": 1.37,
  "de_polymorph_ev_per_atom": 0.142,
  "lattice_angstrom": [[-2.466, -2.116, 4.175], [-0.650, -2.967, -1.888], [9.479, -2.635, 4.264]],
  "species": ["Sc", "Sc", "Sc", "Sc", "Y", "Y", "Th"],
  "fractional_positions": [[0.000, 0.820, 0.640], [0.500, 0.302, 0.605], [0.500, 0.698, 0.395], [0.000, 0.180, 0.360], [0.500, 0.926, 0.852], [0.500, 0.074, 0.148], [0.000, 0.500, 0.000]]
}

***

{
  "formula": "CaPm3Si",
  "functional": "PBE-GGA",
  "state": "optimized geometry",
  "sg": "No. 221",
  "total_energy_ev_per_atom": -4.41,
  "lattice_angstrom": [[7.627, 0.000, 0.000], [0.000, 7.627, 0.000], [0.000, 0.000, 7.627]],
  "species": ["Si", "Si", "Si", "Ca", "Ca", "Ca", "Pm", "Pm", "Pm", "Pm", "Pm", "Pm", "Pm", "Pm", "Pm"],
  "fractional_positions": [[0.000, 0.000, 0.500], [0.500, 0.000, 0.000], [0.000, 0.500, 0.000], [0.500, 0.000, 0.500], [0.000, 0.500, 0.500], [0.500, 0.500, 0.000], [0.226, 0.226, 0.226], [0.226, 0.226, 0.774], [0.774, 0.774, 0.774], [0.774, 0.226, 0.226], [0.774, 0.774, 0.226], [0.774, 0.226, 0.774], [0.500, 0.500, 0.500], [0.226, 0.774, 0.226], [0.226, 0.774, 0.774]]
}